Model A:
VASP calculation (PBE) on crystalline BaScMo2 at its relaxed geometry.

```
data_BaScMo2
_space_group_name_H-M_alt 'C 1 2/m 1'
_space_group_IT_number 12
_space_group_name_Hall '-C 2y'
_cell_length_a 5.892
_cell_length_b 9.940
_cell_length_c 3.054
_cell_angle_alpha 90.00
_cell_angle_beta 109.89
_cell_angle_gamma 90.00
loop_
_atom_site_label
_atom_site_type_symbol
_atom_site_fract_x
_atom_site_fract_y
_atom_site_fract_z
_atom_site_occupancy
Ba1 Ba 0.000 0.000 0.000 1
Sc1 Sc 0.000 0.500 0.000 1
Mo1 Mo 0.250 0.250 0.500 1
```

---

Model B:
VASP calculation (PBE) on crystalline BaScMo2 at its relaxed geometry.

```
data_BaScMo2
_space_group_name_H-M_alt 'P 4/m m m'
_space_group_IT_number 123
_space_group_name_Hall '-P 4 2'
_cell_length_a 4.064
_cell_length_b 4.064
_cell_length_c 5.230
_cell_angle_alpha 90.00
_cell_angle_beta 90.00
_cell_angle_gamma 90.00
loop_
_atom_site_label
_atom_site_type_symbol
_atom_site_fract_x
_atom_site_fract_y
_atom_site_fract_z
_atom_site_occupancy
Ba1 Ba 0.000 0.000 0.000 1
Sc1 Sc 0.500 0.500 0.000 1
Mo1 Mo 0.000 0.500 0.500 1
```

---

Of them, model B has the lowest stability.

---

Model A:
VASP calculation (PBE) on crystalline K2CrRu at its relaxed geometry.

```
data_K2CrRu
_space_group_name_H-M_alt 'I 4/m m m'
_space_group_IT_number 139
_space_group_name_Hall '-I 4 2'
_cell_length_a 4.099
_cell_length_b 4.099
_cell_length_c 11.366
_cell_angle_alpha 90.00
_cell_angle_beta 90.00
_cell_angle_gamma 90.00
loop_
_atom_site_label
_atom_site_type_symbol
_atom_site_fract_x
_atom_site_fract_y
_atom_site_fract_z
_atom_site_occupancy
K1 K 0.000 0.500 0.250 1
Cr1 Cr 0.000 0.000 0.000 1
Ru1 Ru 0.000 0.000 0.500 1
```

---

Model B:
VASP calculation (PBE) on crystalline K2CrRu at its relaxed geometry.

```
data_K2CrRu
_space_group_name_H-M_alt 'R -3 m'
_space_group_IT_number 166
_space_group_name_Hall '-R 3 2"'
_cell_length_a 3.0857
_cell_length_b 3.0857
_cell_length_c 35.1349
_cell_angle_alpha 90.00
_cell_angle_beta 90.00
_cell_angle_gamma 120.00
loop_
_atom_site_label
_atom_site_type_symbol
_atom_site_fract_x
_atom_site_fract_y
_atom_site_fract_z
_atom_site_occupancy
K1 K 0.0000 0.0000 0.2438 1
Cr1 Cr 0.0000 0.0000 0.0000 1
Ru1 Ru 0.0000 0.0000 0.5000 1
```

---

Of them, model B has the lowest stability.

---

Model A:
VASP calculation (PBE) on crystalline K3Eu at its relaxed geometry.

```
data_K3Eu
_space_group_name_H-M_alt 'I m m 2'
_space_group_IT_number 44
_space_group_name_Hall 'I 2 -2'
_cell_length_a 4.272
_cell_length_b 14.858
_cell_length_c 8.031
_cell_angle_alpha 90.00
_cell_angle_beta 90.00
_cell_angle_gamma 90.00
loop_
_atom_site_label
_atom_site_type_symbol
_atom_site_fract_x
_atom_site_fract_y
_atom_site_fract_z
_atom_site_occupancy
K1 K 0.000 0.000 0.000 1
K2 K 0.000 0.248 0.305 1
Eu1 Eu 0.000 0.500 0.001 1
```

---

Model B:
VASP calculation (PBE) on crystalline K3Eu at its relaxed geometry.

```
data_K3Eu
_space_group_name_H-M_alt 'I 4/m m m'
_space_group_IT_number 139
_space_group_name_Hall '-I 4 2'
_cell_length_a 6.324
_cell_length_b 6.324
_cell_length_c 13.198
_cell_angle_alpha 90.00
_cell_angle_beta 90.00
_cell_angle_gamma 90.00
loop_
_atom_site_label
_atom_site_type_symbol
_atom_site_fract_x
_atom_site_fract_y
_atom_site_fract_z
_atom_site_occupancy
K1 K 0.000 0.000 0.000 1
K2 K 0.000 0.500 0.250 1
Eu1 Eu 0.000 0.000 0.500 1
```

---

Of them, model B has the lowest stability.

---

Model A:
VASP calculation (PBE) on crystalline BC3 at its relaxed geometry.

```
data_BC3
_space_group_name_H-M_alt 'P m m a'
_space_group_IT_number 51
_space_group_name_Hall '-P 2a 2a'
_cell_length_a 2.504
_cell_length_b 5.261
_cell_length_c 3.761
_cell_angle_alpha 90.00
_cell_angle_beta 90.00
_cell_angle_gamma 90.00
loop_
_atom_site_label
_atom_site_type_symbol
_atom_site_fract_x
_atom_site_fract_y
_atom_site_fract_z
_atom_site_occupancy
B1 B 0.250 0.000 0.168 1
C1 C 0.250 0.267 0.384 1
C2 C 0.250 0.500 0.118 1
```

---

Model B:
VASP calculation (PBE) on crystalline BC3 at its relaxed geometry.

```
data_BC3
_space_group_name_H-M_alt 'C 1 m 1'
_space_group_IT_number 8
_space_group_name_Hall 'C -2y'
_cell_length_a 11.541
_cell_length_b 2.525
_cell_length_c 5.246
_cell_angle_alpha 90.00
_cell_angle_beta 104.22
_cell_angle_gamma 90.00
loop_
_atom_site_label
_atom_site_type_symbol
_atom_site_fract_x
_atom_site_fract_y
_atom_site_fract_z
_atom_site_occupancy
B1 B 0.000 0.000 0.000 1
B2 B 0.111 0.500 0.046 1
B3 B 0.259 0.000 0.369 1
C1 C 0.010 0.000 0.502 1
C2 C 0.094 0.500 0.545 1
C3 C 0.171 0.500 0.351 1
C4 C 0.185 0.500 0.827 1
C5 C 0.266 0.000 0.868 1
C6 C 0.345 0.000 0.166 1
C7 C 0.351 0.000 0.677 1
C8 C 0.424 0.500 0.215 1
C9 C 0.425 0.500 0.696 1
```

---

Of them, model A has the lowest stability.